{
  "formula": "ErSc2MoO8",
  "functional": "PBE+U",
  "state": "optimized geometry",
  "lattice_angstrom": [[-4.233, -0.014, 2.393], [2.194, -2.101, 3.797], [1.373, 5.884, 2.462]],
  "species": ["Er", "Sc", "O", "O", "O", "O", "O", "Sc", "O", "O", "Mo", "O"],
  "frac_coords": [[0.000, 0.000, 0.500], [0.500, 0.500, 0.749], [0.808, 0.192, 0.216], [0.316, 0.316, 0.500], [0.192, 0.808, 0.784], [0.684, 0.684, 0.500], [0.192, 0.808, 0.216], [0.500, 0.500, 0.251], [0.287, 0.287, 0.000], [0.808, 0.192, 0.784], [0.000, 0.000, 0.000], [0.713, 0.713, 0.000]],
  "magnetic_moment_mub_per_cell": 0.0,
  "n_ef_per_ev_fu": 6.534,
  "vol_a3_per_atom": 12.85,
  "total_energy_ev_per_cell": -95.9,
  "sg": "Cmmm, No. 65"
}